# Ho3In3Ir2

Crystalline Ho3In3Ir2 at its relaxed geometry (PBE, Alexandria).

```
Ho3In3Ir2
1.0
16.0468 0.0000 0.0000
0.0000 4.6670 0.0000
-1.0717 0.0000 5.0847
Ho In Ir
6 6 4
Direct
0.0000 0.0000 0.0000
0.1699 0.0000 0.5923
0.3301 0.5000 0.4077
0.5000 0.5000 0.0000
0.6699 0.5000 0.5923
0.8301 0.0000 0.4077
0.0000 0.5000 0.5000
0.1309 0.5000 0.0813
0.3691 0.0000 0.9187
0.5000 0.0000 0.5000
0.6309 0.0000 0.0813
0.8691 0.5000 0.9187
0.2166 0.0000 0.1217
0.2834 0.5000 0.8783
0.7166 0.5000 0.1217
0.7834 0.0000 0.8783
```



# Pr3Dy3Y2

Crystalline Pr3Dy3Y2 at its relaxed geometry (PBE, Alexandria).

```
Pr3Dy3Y2
1.0
5.0978 0.0000 0.0000
0.0000 5.1217 0.0000
0.0000 0.0000 20.4798
Pr Dy Y
6 6 4
Direct
0.0000 0.0000 0.0000
0.0000 0.5000 0.1247
0.0000 0.5000 0.8753
0.5000 0.0000 0.3753
0.5000 0.0000 0.6247
0.5000 0.5000 0.5000
0.0000 0.0000 0.5000
0.0000 0.5000 0.3739
0.0000 0.5000 0.6261
0.5000 0.0000 0.1261
0.5000 0.0000 0.8739
0.5000 0.5000 0.0000
0.0000 0.0000 0.2493
0.0000 0.0000 0.7507
0.5000 0.5000 0.2507
0.5000 0.5000 0.7493
```



# BaTm2Hg3

Crystalline BaTm2Hg3 at its relaxed geometry (PBE, Alexandria).

```
BaTm2Hg3
1.0
3.7858 0.0000 0.0000
0.0000 3.7858 0.0000
0.0000 0.0000 11.7559
Ba Tm Hg
1 2 3
Direct
0.0000 0.0000 0.0000
0.0000 0.0000 0.3470
0.0000 0.0000 0.6530
0.5000 0.5000 0.2070
0.5000 0.5000 0.5000
0.5000 0.5000 0.7930
```



# Sc3Be

Crystalline Sc3Be at its relaxed geometry (PBE, Alexandria).

```
Sc3Be
1.0
3.1978 0.0000 0.0000
0.0000 3.1978 0.0000
0.0000 0.0000 7.9729
Sc Be
3 1
Direct
0.0000 0.0000 0.0000
0.5000 0.5000 0.3059
0.5000 0.5000 0.6941
0.0000 0.0000 0.5000
```



| no. | energy of formation from the pure elements (eV per atom) |
| --- | --- |
| 1 | -0.56 |
| 2 | 0.02 |
| 3 | -0.47 |
| 4 | 0.01 |